(1)
{"formula": "SmZnInS3", "functional": "GGA-PBE", "state": "optimized geometry", "mass_density_g_cm3": 5.10, "sg": "Pnma (62)", "e_above_lowest_polymorph_ev_per_fu": 0.06, "lattice": [[11.301, 0.000, 0.000], [0.000, 4.145, 0.000], [0.000, 0.000, 11.877]], "species": ["In", "In", "In", "In", "S", "S", "S", "S", "S", "S", "S", "S", "S", "S", "S", "S", "Sm", "Sm", "Sm", "Sm", "Zn", "Zn", "Zn", "Zn"], "frac_coords": [[0.163, 0.000, 0.013], [0.663, 0.000, 0.487], [0.337, 0.500, 0.513], [0.837, 0.500, 0.987], [0.603, 0.000, 0.059], [0.955, 0.000, 0.166], [0.222, 0.500, 0.202], [0.722, 0.500, 0.298], [0.455, 0.000, 0.334], [0.103, 0.000, 0.441], [0.897, 0.500, 0.559], [0.545, 0.500, 0.666], [0.278, 0.000, 0.702], [0.778, 0.000, 0.798], [0.045, 0.500, 0.834], [0.397, 0.500, 0.941], [0.480, 0.500, 0.173], [0.980, 0.500, 0.327], [0.020, 0.000, 0.673], [0.520, 0.000, 0.827], [0.751, 0.000, 0.196], [0.251, 0.000, 0.304], [0.749, 0.500, 0.696], [0.249, 0.500, 0.804]]}



(2)
{"formula": "Sr2InTcS6", "functional": "GGA-PBE", "state": "optimized geometry", "mass_density_g_cm3": 4.19, "sg": "P-1 (2)", "e_above_lowest_polymorph_ev_per_fu": 0.00, "lattice": [[-2.670, -5.336, -2.452], [4.028, -5.381, -0.257], [-1.318, -4.997, 4.516]], "species": ["In", "S", "S", "S", "S", "S", "S", "Sr", "Sr", "Tc"], "frac_coords": [[0.000, 0.500, 0.000], [0.365, 0.232, 0.168], [0.837, 0.156, 0.301], [0.748, 0.684, 0.339], [0.252, 0.316, 0.661], [0.163, 0.844, 0.699], [0.635, 0.768, 0.832], [0.255, 0.745, 0.272], [0.745, 0.255, 0.728], [0.500, 0.000, 0.500]]}



(3)
{"formula": "Sr2InTcS6", "functional": "GGA-PBE", "state": "optimized geometry", "mass_density_g_cm3": 4.17, "sg": "C2/m (12)", "e_above_lowest_polymorph_ev_per_fu": 0.07, "lattice": [[5.832, -3.388, 0.000], [5.832, 3.388, 0.000], [-4.084, 0.000, 5.850]], "species": ["In", "S", "S", "S", "S", "S", "S", "Sr", "Sr", "Tc"], "frac_coords": [[0.000, 0.000, 0.000], [0.262, 0.262, 0.158], [0.806, 0.313, 0.327], [0.313, 0.806, 0.327], [0.687, 0.194, 0.673], [0.194, 0.687, 0.673], [0.738, 0.738, 0.842], [0.753, 0.753, 0.266], [0.247, 0.247, 0.734], [0.500, 0.500, 0.500]]}



> Number 3 is which compound?

Sr2InTcS6